1.
This record from Alexandria via LeMat-Bulk describes a relaxed MgH4Pd2 crystal. The functional is PBE.

abc: 5.0910 8.5307 6.4100
angles: 90.00 113.10 90.00
Closest atoms and distances in Å follow each position.
Space group Cc (No. 9)
Inequivalent atoms, fractional coordinates:
Mg1 0.0000 0.1250 0.0000 x4  6 H 2.14-2.29
H1 0.1503 0.4449 0.8416 x4  3 Pd 1.82-1.89
H2 0.1703 0.0585 0.3584 x4  2 Pd 1.79-1.81
H3 0.3058 0.1934 0.6622 x4  3 Pd 1.82-1.90
H4 0.3097 0.3068 0.1430 x4  2 Pd 1.79-1.81
Pd1 0.0262 0.4503 0.0723 x4  5 H 1.79-1.90
Pd2 0.4558 0.2994 0.9299 x4  5 H 1.79-1.89

## Properties
The density of states at the Fermi level is 3.33 states/eV per cell. Its excess energy over the best structure of this formula in the dataset is 0 meV/atom. The calculation puts the theoretical density at 6.26 Mg/m³. The calculation puts the total magnetization at 0.00 μB per cell.

***

2.
This record from Alexandria via LeMat-Bulk describes a relaxed MgH6Pd3 crystal. The functional is PBE.

abc: 4.8702 4.9056 4.9340
angles: 70.96 61.24 60.76
Closest atoms and distances in Å follow each position.
Space group P1 (No. 1)
Inequivalent atoms, fractional coordinates:
Mg1 0.0000 0.0000 0.0000 x1  4 H 2.14-2.20
H1 0.1167 0.9102 0.5511 x1  3 Pd 1.83-1.88
H2 0.3867 0.5399 0.0875 x1  2 Pd 1.75-1.78
H3 0.3938 0.2961 0.5582 x1  3 Pd 1.80-1.87
H4 0.5330 0.9974 0.0419 x1  3 Pd 1.84-1.89
H5 0.7519 0.5597 0.5541 x1  3 Pd 1.82-1.87
H6 0.9634 0.4203 0.0853 x1  2 Pd 1.74-1.78
Pd1 0.1825 0.2793 0.3380 x1  6 H 1.78-1.89
Pd2 0.5321 0.6212 0.3025 x1  6 H 1.74-1.88
Pd3 0.7021 0.9183 0.6406 x1  4 H 1.80-1.84

## Properties
The density of states at the Fermi level is 0.83 states/eV per cell. Its excess energy over the best structure of this formula in the dataset is 0 meV/atom. The calculation puts the theoretical density at 6.48 Mg/m³. The calculation puts the total magnetization at 0.00 μB per cell.